TaNbTc | PBE | optimized geometry

## Properties
Total magnetization, μB per formula unit: 0.00
DFT formation energy, kJ/mol of formula units: 99
Raw total energy, eV per atom: -10.422
Crystal system: orthorhombic

abc: 4.3552 4.3559 6.9504
angles: 71.77 71.77 90.21
Last column: nearest neighbours and their distance in Å.
Positions (direct):
Tc 0.2782 0.2185 0.3599  4 Nb 2.67, 4 Ta 2.68
Tc 0.5302 0.4704 0.8571  4 Nb 2.67, 4 Ta 2.68
Ta 0.4042 0.8444 0.1085  4 Tc 2.68
Ta 0.9042 0.3443 0.1085  4 Tc 2.68
Nb 0.6543 0.0944 0.6085  4 Tc 2.67
Nb 0.1542 0.5946 0.6084  4 Tc 2.67


Ta5NbTc | PBE | optimized geometry

## Properties
Total magnetization, μB per formula unit: 0.00
DFT formation energy, kJ/mol of formula units: 122
Raw total energy, eV per atom: -11.205
Crystal system: tetragonal

abc: 4.5481 4.5481 6.4466
angles: 90.00 90.00 90.00
Last column: nearest neighbours and their distance in Å.
Positions (direct):
Ta 0.5000 0.0000 0.7362  2 Tc 2.74, 3 Ta 2.84-3.05, 2 Nb 2.84
Ta 0.0000 0.5000 0.2638  2 Tc 2.74, 3 Ta 2.84-3.05, 2 Nb 2.84
Ta 0.0000 0.5000 0.7362  2 Tc 2.74, 2 Nb 2.84, 3 Ta 2.84-3.05
Ta 0.5000 0.0000 0.2638  2 Tc 2.74, 3 Ta 2.84-3.05, 2 Nb 2.84
Ta 0.5000 0.5000 0.0000  8 Ta 2.84
Nb 0.0000 0.0000 0.0000  8 Ta 2.84
Tc 0.0000 0.0000 0.5000  8 Ta 2.74


Ta4Nb4Tc | PBE | optimized geometry

## Properties
Total magnetization, μB per formula unit: 0.00
DFT formation energy, kJ/mol of formula units: -118
Raw total energy, eV per atom: -11.031
Crystal system: tetragonal

abc: 3.2657 7.1727 7.1727
angles: 87.03 76.84 76.84
Last column: nearest neighbours and their distance in Å.
Positions (direct):
Nb 0.8336 0.1664 0.6665  4 Nb 2.84, 4 Ta 2.85
Nb 0.1664 0.8336 0.3335  4 Nb 2.84, 4 Ta 2.85
Nb 0.5000 0.8335 0.6664  4 Nb 2.84, 4 Ta 2.85
Nb 0.5000 0.1665 0.3336  4 Nb 2.84, 4 Ta 2.85
Ta 0.8382 0.5000 0.3236  2 Tc 2.79, 4 Nb 2.85, 2 Ta 2.96
Ta 0.1618 0.5000 0.6764  2 Tc 2.79, 4 Nb 2.85, 2 Ta 2.96
Ta 0.1618 0.1764 0.0000  2 Tc 2.79, 4 Nb 2.85, 2 Ta 2.96
Ta 0.8382 0.8236 0.0000  2 Tc 2.79, 4 Nb 2.85, 2 Ta 2.96
Tc 0.5000 0.5000 0.0000  8 Ta 2.79


Ta3NbTc | PBE | optimized geometry

## Properties
Total magnetization, μB per formula unit: 0.00
DFT formation energy, kJ/mol of formula units: -86
Raw total energy, eV per atom: -11.377
Crystal system: monoclinic

abc: 4.5602 5.6384 7.1848
angles: 98.07 108.50 90.00
Last column: nearest neighbours and their distance in Å.
Positions (direct):
Nb 0.8009 0.8538 0.6017  8 Ta 2.78-2.85
Nb 0.1991 0.1462 0.3983  8 Ta 2.78-2.85
Ta 0.8014 0.3577 0.6028  3 Tc 2.78-2.88, 4 Nb 2.80-2.84, 1 Ta 2.91
Ta 0.0045 0.2539 0.0089  2 Tc 2.77, 5 Ta 2.80-2.91, 1 Nb 2.81
Ta 0.1986 0.6423 0.3972  3 Tc 2.78-2.88, 4 Nb 2.80-2.84, 1 Ta 2.91
Ta 0.9955 0.7461 0.9911  2 Tc 2.77, 5 Ta 2.80-2.91, 1 Nb 2.81
Ta 0.6013 0.9522 0.2026  3 Nb 2.78-2.85, 2 Tc 2.81-2.83, 3 Ta 2.85-2.89
Ta 0.3987 0.0478 0.7974  3 Nb 2.78-2.85, 2 Tc 2.81-2.83, 3 Ta 2.85-2.89
Tc 0.5991 0.4526 0.1982  7 Ta 2.77-2.88, 1 Tc 2.83
Tc 0.4009 0.5474 0.8018  7 Ta 2.77-2.88, 1 Tc 2.83


TaNb4Tc5 | PBE | optimized geometry

## Properties
Total magnetization, μB per formula unit: 0.00
DFT formation energy, kJ/mol of formula units: -363
Raw total energy, eV per atom: -10.772
Crystal system: tetragonal

abc: 3.1929 3.1929 15.9468
angles: 90.00 90.00 90.00
Last column: nearest neighbours and their distance in Å.
Positions (direct):
Nb 0.0000 0.0000 0.4000  8 Tc 2.76-2.77
Nb 0.0000 0.0000 0.8000  8 Tc 2.76-2.77
Nb 0.0000 0.0000 0.6000  8 Tc 2.76-2.77
Nb 0.0000 0.0000 0.2000  8 Tc 2.76-2.77
Tc 0.5000 0.5000 0.2998  8 Nb 2.76-2.77
Tc 0.5000 0.5000 0.7002  8 Nb 2.76-2.77
Tc 0.5000 0.5000 0.5000  8 Nb 2.76
Tc 0.5000 0.5000 0.9005  4 Ta 2.76, 4 Nb 2.77
Tc 0.5000 0.5000 0.0995  4 Ta 2.76, 4 Nb 2.77
Ta 0.0000 0.0000 0.0000  8 Tc 2.76


TaNbTc | PBE | optimized geometry

## Properties
Total magnetization, μB per formula unit: 0.00
DFT formation energy, kJ/mol of formula units: -95
Raw total energy, eV per atom: -11.090
Crystal system: tetragonal

abc: 3.2090 3.2090 5.4174
angles: 107.23 107.23 90.00
Last column: nearest neighbours and their distance in Å.
Positions (direct):
Ta 0.3270 0.3270 0.6540  4 Tc 2.76, 4 Nb 2.87
Nb 0.0057 0.0057 0.0115  4 Tc 2.77, 4 Ta 2.87
Tc 0.6673 0.6673 0.3345  4 Ta 2.76, 4 Nb 2.77


What did the fourth record say?
Ta3NbTc | PBE | optimized geometry

## Properties
Total magnetization, μB per formula unit: 0.00
DFT formation energy, kJ/mol of formula units: -86
Raw total energy, eV per atom: -11.377
Crystal system: monoclinic

abc: 4.5602 5.6384 7.1848
angles: 98.07 108.50 90.00
Last column: nearest neighbours and their distance in Å.
Positions (direct):
Nb 0.8009 0.8538 0.6017  8 Ta 2.78-2.85
Nb 0.1991 0.1462 0.3983  8 Ta 2.78-2.85
Ta 0.8014 0.3577 0.6028  3 Tc 2.78-2.88, 4 Nb 2.80-2.84, 1 Ta 2.91
Ta 0.0045 0.2539 0.0089  2 Tc 2.77, 5 Ta 2.80-2.91, 1 Nb 2.81
Ta 0.1986 0.6423 0.3972  3 Tc 2.78-2.88, 4 Nb 2.80-2.84, 1 Ta 2.91
Ta 0.9955 0.7461 0.9911  2 Tc 2.77, 5 Ta 2.80-2.91, 1 Nb 2.81
Ta 0.6013 0.9522 0.2026  3 Nb 2.78-2.85, 2 Tc 2.81-2.83, 3 Ta 2.85-2.89
Ta 0.3987 0.0478 0.7974  3 Nb 2.78-2.85, 2 Tc 2.81-2.83, 3 Ta 2.85-2.89
Tc 0.5991 0.4526 0.1982  7 Ta 2.77-2.88, 1 Tc 2.83
Tc 0.4009 0.5474 0.8018  7 Ta 2.77-2.88, 1 Tc 2.83